No. 1
{
  "formula": "Ca2ScMn",
  "functional": "GGA-PBE",
  "state": "relaxed",
  "lattice_angstrom": [[8.9731, -0.1234, 0.0480], [8.3460, 3.2979, 0.0480], [0.9218, 0.1690, 3.9977]],
  "species": ["Sc", "Mn", "Ca", "Ca"],
  "frac_coords": [[0.7500, 0.7500, 0.7500], [0.2500, 0.2500, 0.2500], [0.5882, 0.5882, 0.4122], [0.9118, 0.9118, 0.0878]],
  "delta_e_f_kj_per_mol_atoms": 32.6,
  "de_polymorph_mev_per_atom": 143,
  "dos_ef_per_ev_cell": 4.71,
  "rho_g_cm3": 2.445,
  "sg": "Immm, No. 71"
}

---

No. 2
{
  "formula": "As2RhCBr",
  "functional": "GGA-PBE",
  "state": "relaxed",
  "lattice_angstrom": [[-3.0502, -2.5457, 1.5959], [2.8799, -3.1254, 0.5188], [0.8978, 1.5127, 4.1289]],
  "species": ["Rh", "As", "As", "C", "Br"],
  "frac_coords": [[0.5000, 0.5000, 0.5000], [0.0000, 0.5000, 0.0000], [0.5000, 0.0000, 0.0000], [0.0000, 0.0000, 0.0000], [0.0000, 0.0000, 0.5000]],
  "de_polymorph_mev_per_atom": 0,
  "dos_ef_per_ev_cell": 2.05,
  "raw_formation_energy_ev_per_atom": 1.248,
  "rho_g_cm3": 6.957,
  "sg": "P4/mmm, No. 123"
}

---

No. 3
{
  "formula": "TlAsBr2O",
  "functional": "GGA-PBE",
  "state": "relaxed",
  "lattice_angstrom": [[-2.5704, 3.6327, -4.4297], [-1.8845, -5.1211, -3.1062], [-3.1700, 0.0339, 1.8673]],
  "species": ["Br", "Br", "O", "As", "Tl"],
  "frac_coords": [[0.0000, 0.5000, 0.0000], [0.5000, 0.0000, 0.0000], [0.0000, 0.0000, 0.0000], [0.0000, 0.0000, 0.5000], [0.5000, 0.5000, 0.5000]],
  "de_polymorph_mev_per_atom": 0,
  "dos_ef_per_ev_cell": 3.32,
  "raw_formation_energy_ev_per_atom": -0.155,
  "rho_g_cm3": 5.210,
  "sg": "P4/mmm, No. 123"
}

---

No. 4
{
  "formula": "KLaTi2",
  "functional": "GGA-PBE",
  "state": "relaxed",
  "lattice_angstrom": [[4.9388, 0.0000, 0.0000], [0.0000, 4.9388, 0.0000], [2.4694, 2.4694, 11.0486]],
  "species": ["Ti", "Ti", "Ti", "Ti", "K", "K", "La", "La"],
  "frac_coords": [[0.8750, 0.1249, 0.7500], [0.8751, 0.6250, 0.2500], [0.3750, 0.1251, 0.7500], [0.8749, 0.1250, 0.2500], [0.5000, 0.5000, 0.0000], [0.2500, 0.7500, 0.5000], [0.0000, 0.0000, 0.0000], [0.7500, 0.2500, 0.5000]],
  "delta_e_f_kj_per_mol_atoms": 120.9,
  "de_polymorph_mev_per_atom": 114,
  "dos_ef_per_ev_cell": 14.64,
  "rho_g_cm3": 3.373,
  "sg": "I4_1/amd, No. 141"
}

---

No. 5
{
  "formula": "HoNpIrPt",
  "functional": "GGA-PBE",
  "state": "relaxed",
  "lattice_angstrom": [[4.8814, 0.0000, 0.0000], [2.4407, 4.2274, 0.0000], [2.4407, 1.4091, 3.9856]],
  "species": ["Np", "Ir", "Ho", "Pt"],
  "frac_coords": [[0.7500, 0.7500, 0.7500], [0.0000, 0.0000, 0.0000], [0.2500, 0.2500, 0.2500], [0.5000, 0.5000, 0.5000]],
  "delta_e_f_kj_per_mol_atoms": -61.9,
  "dos_ef_per_ev_cell": 8.32,
  "rho_g_cm3": 15.935,
  "sg": "F-43m, No. 216"
}

---

No. 6
{
  "formula": "MgAs2Ir",
  "functional": "GGA-PBE",
  "state": "relaxed",
  "lattice_angstrom": [[6.5367, 0.0046, 0.0117], [-2.4628, 3.8913, -0.0042], [1.6111, 1.0261, 2.6356]],
  "species": ["Ir", "Mg", "As", "As"],
  "frac_coords": [[0.0000, 0.5000, 0.5000], [0.5000, 0.5000, 0.0000], [0.0000, 0.0000, 0.0000], [0.5000, 0.0000, 0.5000]],
  "delta_e_f_kj_per_mol_atoms": -4.0,
  "dos_ef_per_ev_cell": 1.60,
  "rho_g_cm3": 9.081,
  "sg": "Cmmm, No. 65"
}